This record from the Alexandria database describes an optimized crystal structure of LaNiIO2. The functional is PBE with a Hubbard U.

Summary:
Its spin magnetization is 1.95 μB per formula unit. The total energy is -23.1 eV/cell.

Cell lengths 4.359, 4.359, 4.783 Å; angles 90.00, 90.00, 90.00 degrees
Each line ends with the local moment (μB).
Fractional positions:
I 0.000 0.000 0.500  0.05
Ni 0.000 0.000 0.000  1.66
O 0.000 0.500 0.000  0.09
O 0.500 0.000 0.000  0.09
La 0.500 0.500 0.500  0.00